SbO | Alexandria via LeMat-Bulk | PBE | relaxed; energy = -5.32 eV/atom; spin magnetization = 0.00 μB per atom; raw formation energy = -0.780 eV/atom
1.0
3.575 0.000 0.000
0.000 11.523 0.000
0.000 0.000 5.845
Sb O
6 6
Direct
0.000 0.000 0.000
0.000 0.500 0.500
0.500 0.217 0.403
0.500 0.283 0.903
0.500 0.717 0.903
0.500 0.783 0.403
0.000 0.184 0.882
0.000 0.316 0.382
0.000 0.684 0.382
0.000 0.816 0.882
0.500 0.000 0.827
0.500 0.500 0.327